[1]
Crystalline CaNpSn2O8 at its relaxed geometry, computed with PBE-GGA. Values from VASP.

Symmetry: No. 65

```
&SYSTEM
  ibrav = 0, nat = 12, ntyp = 4
/
ATOMIC_SPECIES
Np 237.00 Np.upf
O 16.00 O.upf
Ca 40.08 Ca.upf
Sn 118.71 Sn.upf
CELL_PARAMETERS angstrom
-3.4726 2.9312 2.2044
-3.6668 -2.0785 -2.7784
-0.9168 -4.5642 4.6246
ATOMIC_POSITIONS crystal
Np 0.0000 0.0000 0.0000
O 0.1974 0.8018 0.7798
O 0.6879 0.6888 0.0000
O 0.3190 0.3182 0.5000
O 0.8026 0.1982 0.2202
O 0.3121 0.3112 0.0000
O 0.6810 0.6818 0.5000
O 0.1974 0.8018 0.2202
O 0.8026 0.1982 0.7798
Ca 0.0000 0.0000 0.5000
Sn 0.5000 0.5000 0.7466
Sn 0.5000 0.5000 0.2534
```



[2]
Crystalline Sr2CaNpO6 at its relaxed geometry, computed with PBE-GGA. Values from VASP.

Symmetry: No. 14

```
&SYSTEM
  ibrav = 0, nat = 20, ntyp = 4
/
ATOMIC_SPECIES
O 16.00 O.upf
Sr 87.62 Sr.upf
Np 237.00 Np.upf
Ca 40.08 Ca.upf
CELL_PARAMETERS angstrom
-3.3411 3.7047 3.2503
-3.3113 -4.7368 1.9952
5.3058 -0.9448 6.5629
ATOMIC_POSITIONS crystal
O 0.3138 0.7218 0.4399
O 0.2189 0.1886 0.4524
O 0.3988 0.9583 0.7331
O 0.6862 0.2782 0.5601
O 0.1012 0.4583 0.7669
O 0.8988 0.5417 0.2331
O 0.2811 0.6886 0.0476
O 0.6012 0.0417 0.2669
O 0.1862 0.2218 0.0601
O 0.8138 0.7782 0.9399
O 0.7811 0.8114 0.5476
O 0.7189 0.3114 0.9524
Sr 0.4875 0.4528 0.2473
Sr 0.0125 0.9528 0.2527
Sr 0.9875 0.0472 0.7473
Sr 0.5125 0.5472 0.7527
Np 0.5000 0.0000 0.5000
Np 0.0000 0.5000 0.0000
Ca 0.5000 0.0000 0.0000
Ca 0.0000 0.5000 0.5000
```



[3]
Crystalline SrCaNp2O8 at its relaxed geometry, computed with PBE-GGA. Values from VASP.

Symmetry: No. 119

```
&SYSTEM
  ibrav = 0, nat = 12, ntyp = 4
/
ATOMIC_SPECIES
O 16.00 O.upf
Ca 40.08 Ca.upf
Np 237.00 Np.upf
Sr 87.62 Sr.upf
CELL_PARAMETERS angstrom
-5.3533 0.1336 1.0874
0.3946 -4.8241 2.5357
3.4557 4.7934 2.6942
ATOMIC_POSITIONS crystal
O 0.5931 0.6313 0.7532
O 0.8778 0.8397 0.2463
O 0.1601 0.1219 0.7532
O 0.3687 0.8399 0.2468
O 0.5934 0.1222 0.7537
O 0.8781 0.4069 0.2468
O 0.3685 0.4066 0.2463
O 0.1603 0.6315 0.7537
Ca 0.0000 0.0000 0.0000
Np 0.2500 0.7500 0.5000
Np 0.5000 0.5000 0.0000
Sr 0.7500 0.2500 0.5000
```



[4]
Crystalline Sr2Ca2NpO6 at its relaxed geometry, computed with PBE-GGA. Values from VASP.

Symmetry: No. 12

```
&SYSTEM
  ibrav = 0, nat = 11, ntyp = 4
/
ATOMIC_SPECIES
Sr 87.62 Sr.upf
O 16.00 O.upf
Ca 40.08 Ca.upf
Np 237.00 Np.upf
CELL_PARAMETERS angstrom
-5.5884 2.0068 -1.4642
0.4583 -5.6864 2.2037
1.0341 3.1715 4.9473
ATOMIC_POSITIONS crystal
Sr 0.3429 0.6571 0.5000
Sr 0.6571 0.3429 0.5000
O 0.0466 0.3813 0.7354
O 0.9534 0.6187 0.2646
O 0.6187 0.9534 0.2646
O 0.8076 0.8076 0.7319
O 0.1924 0.1924 0.2681
O 0.3813 0.0466 0.7354
Ca 0.8256 0.1744 0.0000
Ca 0.1744 0.8256 0.0000
Np 0.0000 0.0000 0.5000
```



[5]
Crystalline CaNp2TaO8 at its relaxed geometry, computed with PBE-GGA. Values from VASP.

Symmetry: No. 65

```
&SYSTEM
  ibrav = 0, nat = 12, ntyp = 4
/
ATOMIC_SPECIES
O 16.00 O.upf
Np 237.00 Np.upf
Ta 180.95 Ta.upf
Ca 40.08 Ca.upf
CELL_PARAMETERS angstrom
-1.4304 4.4745 1.7373
-3.0445 -2.1893 3.3192
5.1044 -0.1480 4.5846
ATOMIC_POSITIONS crystal
O 0.6774 0.6778 0.5000
O 0.7124 0.7125 0.0000
O 0.8073 0.1929 0.7853
O 0.3226 0.3222 0.5000
O 0.8073 0.1928 0.2147
O 0.2876 0.2875 0.0000
O 0.1927 0.8071 0.2147
O 0.1927 0.8072 0.7853
Np 0.5000 0.5000 0.7543
Np 0.5000 0.5000 0.2457
Ta 0.0000 0.0000 0.0000
Ca 0.0000 0.0000 0.5000
```



[6]
Crystalline Ca2TbNpO6 at its relaxed geometry, computed with PBE-GGA. Values from VASP.

Symmetry: No. 146

```
&SYSTEM
  ibrav = 0, nat = 10, ntyp = 4
/
ATOMIC_SPECIES
Np 237.00 Np.upf
Ca 40.08 Ca.upf
O 16.00 O.upf
Tb 158.93 Tb.upf
CELL_PARAMETERS angstrom
5.8583 0.0001 0.0002
2.9292 5.0734 0.0000
2.9291 1.6913 5.0371
ATOMIC_POSITIONS crystal
Np 0.3173 0.3173 0.0482
Ca 0.5345 0.5345 0.3964
Ca 0.0299 0.0299 0.9104
O 0.1913 0.9580 0.2586
O 0.4377 0.6780 0.7731
O 0.6780 0.1112 0.7731
O 0.1112 0.4377 0.7731
O 0.5921 0.1913 0.2586
O 0.9580 0.5921 0.2586
Tb 0.8117 0.8117 0.5650
```



[7]
Crystalline CaTb2NpO6 at its relaxed geometry, computed with PBE-GGA. Values from VASP.

Symmetry: No. 146

```
&SYSTEM
  ibrav = 0, nat = 10, ntyp = 4
/
ATOMIC_SPECIES
O 16.00 O.upf
Ca 40.08 Ca.upf
Tb 158.93 Tb.upf
Np 237.00 Np.upf
CELL_PARAMETERS angstrom
5.8854 0.0000 0.0002
2.9427 5.0969 0.0000
2.9425 1.6990 5.0970
ATOMIC_POSITIONS crystal
O 0.9222 0.6157 0.2456
O 0.2164 0.9222 0.2456
O 0.7003 0.1374 0.7607
O 0.6157 0.2164 0.2456
O 0.4016 0.7003 0.7607
O 0.1374 0.4016 0.7607
Ca 0.8054 0.8054 0.5838
Tb 0.5270 0.5270 0.4189
Tb 0.0226 0.0226 0.9323
Np 0.3129 0.3129 0.0613
```



[8]
Crystalline CaNpTcO6 at its relaxed geometry, computed with PBE-GGA. Values from VASP.

Symmetry: No. 163

```
&SYSTEM
  ibrav = 0, nat = 18, ntyp = 4
/
ATOMIC_SPECIES
Tc 98.00 Tc.upf
O 16.00 O.upf
Np 237.00 Np.upf
Ca 40.08 Ca.upf
CELL_PARAMETERS angstrom
5.4238 0.0000 0.0000
-2.7119 4.6972 0.0000
0.0000 0.0000 10.0718
ATOMIC_POSITIONS crystal
Tc 0.3333 0.6667 0.7500
Tc 0.6667 0.3333 0.2500
O 0.3521 0.3634 0.8584
O 0.3634 0.0113 0.1416
O 0.9887 0.3521 0.1416
O 0.3634 0.3521 0.3584
O 0.0113 0.3634 0.6416
O 0.0113 0.6479 0.8584
O 0.3521 0.9887 0.6416
O 0.6366 0.6479 0.6416
O 0.6479 0.0113 0.3584
O 0.6479 0.6366 0.1416
O 0.9887 0.6366 0.3584
O 0.6366 0.9887 0.8584
Np 0.6667 0.3333 0.7500
Np 0.3333 0.6667 0.2500
Ca 0.0000 0.0000 0.5000
Ca 0.0000 0.0000 0.0000
```



[9]
Crystalline CaNpTeO6 at its relaxed geometry, computed with PBE-GGA. Values from VASP.

Symmetry: No. 163

```
&SYSTEM
  ibrav = 0, nat = 18, ntyp = 4
/
ATOMIC_SPECIES
O 16.00 O.upf
Ca 40.08 Ca.upf
Np 237.00 Np.upf
Te 127.60 Te.upf
CELL_PARAMETERS angstrom
-0.3170 2.2644 5.2144
0.1564 -5.6550 -0.6432
9.7975 0.2138 0.5028
ATOMIC_POSITIONS crystal
O 0.6486 0.6374 0.1390
O 0.9888 0.6374 0.3610
O 0.3626 0.3514 0.3610
O 0.6374 0.9888 0.8610
O 0.0112 0.6486 0.8610
O 0.3626 0.0112 0.1390
O 0.6374 0.6486 0.6390
O 0.3514 0.3626 0.8610
O 0.9888 0.3514 0.1390
O 0.6486 0.0112 0.3610
O 0.0112 0.3626 0.6390
O 0.3514 0.9888 0.6390
Ca 0.0000 0.0000 0.0000
Ca 0.0000 0.0000 0.5000
Np 0.3333 0.6667 0.7500
Np 0.6667 0.3333 0.2500
Te 0.6667 0.3333 0.7500
Te 0.3333 0.6667 0.2500
```



[10]
Crystalline Ca2ThNpO8 at its relaxed geometry, computed with PBE-GGA. Values from VASP.

Symmetry: No. 10

```
&SYSTEM
  ibrav = 0, nat = 12, ntyp = 4
/
ATOMIC_SPECIES
Ca 40.08 Ca.upf
O 16.00 O.upf
Th 232.04 Th.upf
Np 237.00 Np.upf
CELL_PARAMETERS angstrom
-3.7710 -0.2905 1.1786
1.1873 -5.2737 0.9885
2.0605 1.7817 7.0317
ATOMIC_POSITIONS crystal
Ca 0.5000 0.5000 0.7568
Ca 0.5000 0.5000 0.2432
O 0.5650 0.7824 0.0000
O 0.9547 0.2261 0.7792
O 0.5146 0.7533 0.5000
O 0.0453 0.7739 0.2208
O 0.0453 0.7739 0.7792
O 0.4854 0.2467 0.5000
O 0.4350 0.2176 0.0000
O 0.9547 0.2261 0.2208
Th 0.0000 0.0000 0.5000
Np 0.0000 0.0000 0.0000
```



[11]
Crystalline CaThNpO6 at its relaxed geometry, computed with PBE-GGA. Values from VASP.

Symmetry: No. 163

```
&SYSTEM
  ibrav = 0, nat = 18, ntyp = 4
/
ATOMIC_SPECIES
O 16.00 O.upf
Th 232.04 Th.upf
Ca 40.08 Ca.upf
Np 237.00 Np.upf
CELL_PARAMETERS angstrom
5.7544 0.0000 0.0000
-2.8772 4.9834 0.0000
0.0000 0.0000 9.7714
ATOMIC_POSITIONS crystal
O 0.3581 0.3220 0.3668
O 0.3220 0.9638 0.6332
O 0.6780 0.6419 0.1332
O 0.3581 0.0362 0.1332
O 0.9638 0.6419 0.3668
O 0.0362 0.6780 0.8668
O 0.0362 0.3581 0.6332
O 0.6419 0.6780 0.6332
O 0.9638 0.3220 0.1332
O 0.6419 0.9638 0.8668
O 0.3220 0.3581 0.8668
O 0.6780 0.0362 0.3668
Th 0.0000 0.0000 0.5000
Th 0.0000 0.0000 0.0000
Ca 0.6667 0.3333 0.7500
Ca 0.3333 0.6667 0.2500
Np 0.6667 0.3333 0.2500
Np 0.3333 0.6667 0.7500
```



[12]
Crystalline Ca2NpTlO8 at its relaxed geometry, computed with PBE-GGA. Values from VASP.

Symmetry: No. 10

```
&SYSTEM
  ibrav = 0, nat = 12, ntyp = 4
/
ATOMIC_SPECIES
Tl 204.38 Tl.upf
O 16.00 O.upf
Ca 40.08 Ca.upf
Np 237.00 Np.upf
CELL_PARAMETERS angstrom
-0.6541 -3.1554 2.5363
-1.3683 -2.3469 -4.4989
7.4505 -2.3729 -1.0348
ATOMIC_POSITIONS crystal
Tl 0.0000 0.0000 0.5000
O 0.5652 0.7519 0.4998
O 0.9409 0.2348 0.7950
O 0.0591 0.7652 0.2050
O 0.4213 0.2258 0.0001
O 0.0590 0.7657 0.7947
O 0.9410 0.2343 0.2053
O 0.4348 0.2481 0.5002
O 0.5787 0.7742 0.9999
Ca 0.5001 0.4998 0.2446
Ca 0.4999 0.5002 0.7554
Np 0.0000 0.0000 0.0000
```



[13]
Crystalline CaNpTlO6 at its relaxed geometry, computed with PBE-GGA. Values from VASP.

Symmetry: No. 163

```
&SYSTEM
  ibrav = 0, nat = 18, ntyp = 4
/
ATOMIC_SPECIES
O 16.00 O.upf
Ca 40.08 Ca.upf
Tl 204.38 Tl.upf
Np 237.00 Np.upf
CELL_PARAMETERS angstrom
-2.4652 0.0172 -5.0771
1.7415 -4.8628 2.2750
-8.9885 -1.1791 4.3604
ATOMIC_POSITIONS crystal
O 0.0353 0.3680 0.6356
O 0.9647 0.6320 0.3644
O 0.6320 0.6673 0.6356
O 0.0353 0.6673 0.8644
O 0.3327 0.3680 0.8644
O 0.6673 0.0353 0.3644
O 0.6673 0.6320 0.1356
O 0.3680 0.3327 0.3644
O 0.6320 0.9647 0.8644
O 0.3327 0.9647 0.6356
O 0.9647 0.3327 0.1356
O 0.3680 0.0353 0.1356
Ca 0.0000 0.0000 0.0000
Ca 0.0000 0.0000 0.5000
Tl 0.6667 0.3333 0.7500
Tl 0.3333 0.6667 0.2500
Np 0.3333 0.6667 0.7500
Np 0.6667 0.3333 0.2500
```



[14]
Crystalline Ca2NpTlO6 at its relaxed geometry, computed with PBE-GGA. Values from VASP.

Symmetry: No. 146

```
&SYSTEM
  ibrav = 0, nat = 10, ntyp = 4
/
ATOMIC_SPECIES
Ca 40.08 Ca.upf
O 16.00 O.upf
Tl 204.38 Tl.upf
Np 237.00 Np.upf
CELL_PARAMETERS angstrom
-4.1501 -2.9126 -3.1599
1.5854 -4.5391 -3.5461
-1.5582 -5.9392 1.8735
ATOMIC_POSITIONS crystal
Ca 0.0062 0.0062 0.9814
Ca 0.5295 0.5295 0.4116
O 0.2681 0.9646 0.2099
O 0.9646 0.5574 0.2099
O 0.3566 0.6904 0.7835
O 0.6904 0.1695 0.7835
O 0.5574 0.2681 0.2099
O 0.1695 0.3566 0.7835
Tl 0.7929 0.7929 0.6213
Np 0.3264 0.3264 0.0208
```



[15]
Crystalline CaNp3Tl4O12 at its relaxed geometry, computed with PBE-GGA. Values from VASP.

Symmetry: No. 229

```
&SYSTEM
  ibrav = 0, nat = 20, ntyp = 4
/
ATOMIC_SPECIES
Tl 204.38 Tl.upf
Np 237.00 Np.upf
O 16.00 O.upf
Ca 40.08 Ca.upf
CELL_PARAMETERS angstrom
-7.1418 1.9220 1.4310
2.3913 -4.8566 5.2386
4.3317 6.1618 0.1243
ATOMIC_POSITIONS crystal
Tl 0.5000 0.5000 0.5000
Tl 0.0000 0.0000 0.5000
Tl 0.5000 0.0000 0.0000
Tl 0.0000 0.5000 0.0000
Np 0.5000 0.0000 0.5000
Np 0.5000 0.5000 0.0000
Np 0.0000 0.5000 0.5000
O 0.2762 0.0000 0.2762
O 0.5000 0.7500 0.2500
O 0.5000 0.2500 0.7500
O 0.2500 0.7500 0.5000
O 0.0000 0.7238 0.7238
O 0.0000 0.2762 0.2762
O 0.7500 0.2500 0.5000
O 0.2762 0.2762 0.0000
O 0.7238 0.7238 0.0000
O 0.7500 0.5000 0.2500
O 0.7238 0.0000 0.7238
O 0.2500 0.5000 0.7500
Ca 0.0000 0.0000 0.0000
```



[16]
Crystalline CaNpUO6 at its relaxed geometry, computed with PBE-GGA. Values from VASP.

Symmetry: No. 163

```
&SYSTEM
  ibrav = 0, nat = 18, ntyp = 4
/
ATOMIC_SPECIES
O 16.00 O.upf
Np 237.00 Np.upf
Ca 40.08 Ca.upf
U 238.03 U.upf
CELL_PARAMETERS angstrom
-4.8725 0.1037 3.0048
4.7514 -2.1900 2.3257
2.2589 8.4798 3.3703
ATOMIC_POSITIONS crystal
O 0.6575 0.6905 0.6284
O 0.6575 0.9670 0.8716
O 0.3425 0.3095 0.3716
O 0.3095 0.9670 0.6284
O 0.9670 0.3095 0.1284
O 0.3425 0.0330 0.1284
O 0.0330 0.3425 0.6284
O 0.0330 0.6905 0.8716
O 0.3095 0.3425 0.8716
O 0.9670 0.6575 0.3716
O 0.6905 0.0330 0.3716
O 0.6905 0.6575 0.1284
Np 0.0000 0.0000 0.0000
Np 0.0000 0.0000 0.5000
Ca 0.3333 0.6667 0.2500
Ca 0.6667 0.3333 0.7500
U 0.3333 0.6667 0.7500
U 0.6667 0.3333 0.2500
```



Computed formation energy from raw total energies, in the same sequence as the records: -2.2358 -3.0355 -2.7971 -2.8149 -2.9737 -3.1481 -3.2273 -2.4202 -2.2498 -2.8811 -3.1819 -1.9546 -2.0847 -2.5214 -2.2584 -3.0408 eV/atom.